# Ac16Co3Pt5

A geometry-optimized Ac16Co3Pt5 structure (GGA-PBE, Alexandria).

Cell: 8.680 8.680 14.003 Å, 90.01 90.01 59.57°
Element x y z (fractional)
Ac: 0.322 0.825 0.402
Ac: 0.509 0.509 0.659
Ac: 0.677 0.677 0.900
Ac: 0.992 0.992 0.669
Ac: 0.993 0.993 0.172
Ac: 0.825 0.322 0.402
Ac: 0.519 0.981 0.660
Ac: 0.981 0.519 0.660
Ac: 0.164 0.164 0.909
Ac: 0.840 0.840 0.400
Ac: 0.020 0.502 0.165
Ac: 0.502 0.020 0.165
Ac: 0.340 0.340 0.397
Ac: 0.150 0.677 0.903
Ac: 0.490 0.490 0.165
Ac: 0.677 0.150 0.903
Co: 0.833 0.833 0.780
Co: 0.167 0.665 0.283
Co: 0.665 0.167 0.283
Pt: 0.334 0.835 0.786
Pt: 0.666 0.666 0.523
Pt: 0.835 0.334 0.786
Pt: 0.166 0.166 0.286
Pt: 0.334 0.334 0.025

Output
- E_form (eV/atom) = -0.51
- space group = Cm, No. 8
- calculated volume (Å³ per atom) = 37.903



# ErBe13

A geometry-optimized ErBe13 structure (GGA-PBE, Alexandria).

Cell: 7.177 7.177 7.177 Å, 60.00 60.00 60.00°
Element x y z (fractional)
Be: 0.000 0.000 0.000
Be: 0.500 0.500 0.500
Be: 0.709 0.063 0.291
Be: 0.937 0.291 0.063
Be: 0.063 0.709 0.937
Be: 0.291 0.937 0.709
Be: 0.709 0.291 0.937
Be: 0.937 0.063 0.709
Be: 0.063 0.937 0.291
Be: 0.291 0.709 0.063
Be: 0.709 0.937 0.063
Be: 0.937 0.709 0.291
Be: 0.063 0.291 0.709
Be: 0.291 0.063 0.937
Be: 0.563 0.437 0.209
Be: 0.791 0.209 0.437
Be: 0.209 0.791 0.563
Be: 0.437 0.563 0.791
Be: 0.437 0.209 0.563
Be: 0.209 0.437 0.791
Be: 0.791 0.563 0.209
Be: 0.563 0.791 0.437
Be: 0.209 0.563 0.437
Be: 0.437 0.791 0.209
Be: 0.563 0.209 0.791
Be: 0.791 0.437 0.563
Er: 0.250 0.250 0.250
Er: 0.750 0.750 0.750

Output
- E_form (eV/atom) = -0.20
- space group = Fm-3c, No. 226
- calculated volume (Å³ per atom) = 9.335



# Sr3In2I8

A geometry-optimized Sr3In2I8 structure (GGA-PBE, Alexandria).

Cell: 8.299 9.652 9.923 Å, 119.10 106.00 90.00°
Element x y z (fractional)
Sr: 0.500 0.000 0.000
Sr: 0.000 0.259 0.000
Sr: 0.000 0.741 0.000
In: 0.655 0.734 0.468
In: 0.345 0.266 0.532
I: 0.074 0.384 0.769
I: 0.926 0.616 0.231
I: 0.091 0.891 0.781
I: 0.909 0.109 0.219
I: 0.401 0.883 0.233
I: 0.401 0.350 0.233
I: 0.599 0.650 0.767
I: 0.599 0.117 0.767

Output
- formation energy without anion corrections (meV/atom) = -1307
- space group = C2/m, No. 12
- calculated volume (Å³ per atom) = 50.694



# AlGa8Cu2

A geometry-optimized AlGa8Cu2 structure (GGA-PBE, Alexandria).

Cell: 4.671 6.736 6.736 Å, 74.87 81.55 81.55°
Element x y z (fractional)
Al: 0.000 0.000 0.000
Ga: 0.774 0.216 0.646
Ga: 0.226 0.354 0.784
Ga: 0.863 0.244 0.244
Ga: 0.137 0.756 0.756
Ga: 0.774 0.646 0.216
Ga: 0.226 0.784 0.354
Ga: 0.307 0.366 0.366
Ga: 0.693 0.634 0.634
Cu: 0.436 0.121 0.121
Cu: 0.564 0.879 0.879

Output
- E_form (eV/atom) = 0.03
- space group = C2/m, No. 12
- calculated volume (Å³ per atom) = 18.279



# TmZrSe

A geometry-optimized TmZrSe structure (GGA-PBE, Alexandria).

Cell: 3.732 4.699 4.699 Å, 120.00 90.00 90.00°
Element x y z (fractional)
Tm: 0.667 0.667 0.333
Se: 0.166 0.333 0.667
Zr: 0.167 0.000 0.000

Output
- formation energy without anion corrections (meV/atom) = -502
- space group = P3m1, No. 156
- calculated volume (Å³ per atom) = 23.783
- polymorph energy (0 for the lowest one) (meV per atom) = 591



# TiRh3F

A geometry-optimized TiRh3F structure (GGA-PBE, Alexandria).

Cell: 4.591 4.591 4.591 Å, 90.00 90.00 90.00°
Element x y z (fractional)
F: 0.500 0.500 0.500
Rh: 0.000 0.500 0.000
Rh: 0.000 0.000 0.500
Rh: 0.500 0.000 0.000
Ti: 0.000 0.000 0.000

Output
- formation energy without anion corrections (meV/atom) = 788
- space group = Pm-3m, No. 221
- calculated volume (Å³ per atom) = 19.358
- polymorph energy (0 for the lowest one) (meV per atom) = 490



# MgMnCl

A geometry-optimized MgMnCl structure (GGA-PBE, Alexandria).

Cell: 4.418 4.418 3.353 Å, 90.00 90.00 120.00°
Element x y z (fractional)
Cl: 0.000 0.000 0.833
Mg: 0.667 0.333 0.333
Mn: 0.333 0.667 0.833

Output
- formation energy without anion corrections (meV/atom) = 68
- space group = P-6m2, No. 187
- calculated volume (Å³ per atom) = 18.890
- polymorph energy (0 for the lowest one) (meV per atom) = 308



# KSc2Pt

A geometry-optimized KSc2Pt structure (GGA-PBE, Alexandria).

Cell: 3.373 3.371 10.519 Å, 71.65 90.00 90.00°
Element x y z (fractional)
K: 0.500 0.250 0.250
Pt: 0.500 0.750 0.750
Sc: 0.000 0.100 0.901
Sc: 0.000 0.400 0.599

Output
- E_form (eV/atom) = -0.35
- space group = P2/m, No. 10
- calculated volume (Å³ per atom) = 28.379
- polymorph energy (0 for the lowest one) (meV per atom) = 18



# HgHPtPb2

A geometry-optimized HgHPtPb2 structure (GGA-PBE, Alexandria).

Cell: 5.700 5.700 3.403 Å, 90.00 90.00 90.00°
Element x y z (fractional)
Pb: 0.000 0.500 0.000
Pb: 0.500 0.000 0.000
H: 0.000 0.000 0.500
Hg: 0.500 0.500 0.500
Pt: 0.000 0.000 0.000

Output
- space group = P4/mmm, No. 123
- calculated volume (Å³ per atom) = 22.117
- polymorph energy (0 for the lowest one) (meV per atom) = 0



# UGeMo

A geometry-optimized UGeMo structure (GGA-PBE, Alexandria).

Cell: 2.829 4.731 4.731 Å, 120.00 90.00 90.00°
Element x y z (fractional)
Mo: 0.500 0.333 0.667
U: 0.999 0.000 0.000
Ge: 0.500 0.667 0.333

Output
- E_form (eV/atom) = 0.07
- space group = P-6m2, No. 187
- calculated volume (Å³ per atom) = 18.284



# MgBeB

A geometry-optimized MgBeB structure (GGA-PBE, Alexandria).

Cell: 9.671 2.989 5.214 Å, 90.00 88.92 90.00°
Element x y z (fractional)
Be: 0.123 0.000 0.271
Be: 0.123 0.500 0.771
Be: 0.841 0.000 0.602
Be: 0.841 0.500 0.102
Mg: 0.345 0.000 0.936
Mg: 0.345 0.500 0.436
Mg: 0.624 0.000 0.270
Mg: 0.624 0.500 0.770
B: 0.032 0.000 0.607
B: 0.032 0.500 0.107
B: 0.008 0.000 0.941
B: 0.008 0.500 0.441

Output
- E_form (eV/atom) = 0.17
- space group = Cm, No. 8
- calculated volume (Å³ per atom) = 12.558
- polymorph energy (0 for the lowest one) (meV per atom) = 166



# SrH4Ir

A geometry-optimized SrH4Ir structure (GGA-PBE, Alexandria).

Cell: 4.351 4.351 9.256 Å, 90.00 90.00 49.72°
Element x y z (fractional)
Sr: 0.919 0.081 0.500
Sr: 0.919 0.081 0.000
H: 0.737 0.898 0.750
H: 0.613 0.771 0.069
H: 0.613 0.771 0.431
H: 0.229 0.387 0.569
H: 0.229 0.387 0.931
H: 0.421 0.627 0.750
H: 0.102 0.263 0.250
H: 0.373 0.579 0.250
Ir: 0.606 0.761 0.250
Ir: 0.239 0.394 0.750

Output
- space group = Ama2, No. 40
- E (eV/atom) = -4.34
- calculated volume (Å³ per atom) = 11.142



Copy entry 6 word for word.
# TiRh3F

A geometry-optimized TiRh3F structure (GGA-PBE, Alexandria).

Cell: 4.591 4.591 4.591 Å, 90.00 90.00 90.00°
Element x y z (fractional)
F: 0.500 0.500 0.500
Rh: 0.000 0.500 0.000
Rh: 0.000 0.000 0.500
Rh: 0.500 0.000 0.000
Ti: 0.000 0.000 0.000

Output
- formation energy without anion corrections (meV/atom) = 788
- space group = Pm-3m, No. 221
- calculated volume (Å³ per atom) = 19.358
- polymorph energy (0 for the lowest one) (meV per atom) = 490